Entry 1:
Compound: InAg2Au
Source: Alexandria via LeMat-Bulk
Functional: meta-GGA SCAN
Structure: single point on PBEsol structure

a = 4.098 Å, b = 4.169 Å, c = 8.265 Å
α = 90.00°, β = 90.00°, γ = 90.00°
Atoms (fractional coordinates):
In: 0.000 0.000 0.000
In: 0.500 0.500 0.500
Ag: 0.000 0.000 0.500
Ag: 0.000 0.500 0.750
Ag: 0.500 0.000 0.250
Ag: 0.500 0.500 0.000
Au: 0.000 0.500 0.250
Au: 0.500 0.000 0.750

SG   Imm2 (44)

Entry 2:
Compound: InAgAu2
Source: Alexandria via LeMat-Bulk
Functional: meta-GGA SCAN
Structure: single point on PBEsol structure

a = 3.547 Å, b = 3.547 Å, c = 5.770 Å
α = 90.00°, β = 90.00°, γ = 90.00°
Atoms (fractional coordinates):
In: 0.000 0.000 0.000
Ag: 0.500 0.500 0.265
Au: 0.000 0.000 0.498
Au: 0.500 0.500 0.755

SG   P4mm (99)

Entry 3:
Compound: InAg2Au
Source: Alexandria via LeMat-Bulk
Functional: meta-GGA SCAN
Structure: single point on PBEsol structure

a = 6.568 Å, b = 6.568 Å, c = 6.568 Å
α = 90.00°, β = 90.00°, γ = 90.00°
Atoms (fractional coordinates):
In: 0.000 0.000 0.000
In: 0.000 0.500 0.500
In: 0.500 0.000 0.500
In: 0.500 0.500 0.000
Ag: 0.000 0.000 0.500
Ag: 0.000 0.500 0.000
Ag: 0.250 0.250 0.750
Ag: 0.250 0.750 0.250
Ag: 0.500 0.000 0.000
Ag: 0.500 0.500 0.500
Ag: 0.750 0.250 0.250
Ag: 0.750 0.750 0.750
Au: 0.250 0.250 0.250
Au: 0.250 0.750 0.750
Au: 0.750 0.250 0.750
Au: 0.750 0.750 0.250

SG   F-43m (216)

Entry 4:
Compound: InAg2Au
Source: Alexandria via LeMat-Bulk
Functional: meta-GGA SCAN
Structure: single point on PBEsol structure

a = 2.981 Å, b = 4.106 Å, c = 5.820 Å
α = 90.00°, β = 90.00°, γ = 90.00°
Atoms (fractional coordinates):
In: 0.000 0.000 0.000
Ag: 0.500 0.500 0.256
Ag: 0.500 0.500 0.744
Au: 0.000 0.000 0.500

SG   Pmmm (47)

Entry 5:
Compound: InAg2Au
Source: Alexandria via LeMat-Bulk
Functional: meta-GGA SCAN
Structure: single point on PBEsol structure

a = 4.071 Å, b = 4.071 Å, c = 8.529 Å
α = 90.00°, β = 90.00°, γ = 90.00°
Atoms (fractional coordinates):
In: 0.000 0.000 0.000
In: 0.500 0.500 0.500
Ag: 0.000 0.500 0.250
Ag: 0.000 0.500 0.750
Ag: 0.500 0.000 0.250
Ag: 0.500 0.000 0.750
Au: 0.000 0.000 0.500
Au: 0.500 0.500 0.000

SG   I4/mmm (139)

Entry 6:
Compound: In2AgAu
Source: Alexandria via LeMat-Bulk
Functional: meta-GGA SCAN
Structure: single point on PBEsol structure

a = 3.473 Å, b = 4.372 Å, c = 5.560 Å
α = 90.00°, β = 106.96°, γ = 90.00°
Atoms (fractional coordinates):
In: 0.000 0.000 0.000
In: 0.295 0.500 0.607
Ag: 0.561 0.500 0.135
Au: 0.734 0.000 0.471

SG   Pm (6)

Entry 7:
Compound: KAg2Au2
Source: Alexandria via LeMat-Bulk
Functional: meta-GGA SCAN
Structure: single point on PBEsol structure

a = 4.178 Å, b = 4.178 Å, c = 12.572 Å
α = 90.00°, β = 90.00°, γ = 90.00°
Atoms (fractional coordinates):
K: 0.000 0.000 0.000
K: 0.500 0.500 0.500
Ag: 0.000 0.500 0.250
Ag: 0.000 0.500 0.750
Ag: 0.500 0.000 0.250
Ag: 0.500 0.000 0.750
Au: 0.000 0.000 0.395
Au: 0.000 0.000 0.605
Au: 0.500 0.500 0.105
Au: 0.500 0.500 0.895

SG   I4/mmm (139)
Distance to the lowest polymorph of the same formula   0 meV per atom

Entry 8:
Compound: KAg2Au2
Source: Alexandria via LeMat-Bulk
Functional: meta-GGA SCAN
Structure: single point on PBEsol structure

a = 8.290 Å, b = 8.290 Å, c = 2.878 Å
α = 90.00°, β = 90.00°, γ = 90.00°
Atoms (fractional coordinates):
K: 0.000 0.000 0.000
K: 0.500 0.500 0.000
Ag: 0.172 0.328 0.500
Ag: 0.328 0.828 0.500
Ag: 0.672 0.172 0.500
Ag: 0.828 0.672 0.500
Au: 0.124 0.624 0.000
Au: 0.376 0.124 0.000
Au: 0.624 0.876 0.000
Au: 0.876 0.376 0.000

SG   P4/mbm (127)
Distance to the lowest polymorph of the same formula   1 meV per atom

Entry 9:
Compound: La2AgAu
Source: Alexandria via LeMat-Bulk
Functional: meta-GGA SCAN
Structure: single point on PBEsol structure

a = 5.233 Å, b = 5.233 Å, c = 3.772 Å
α = 90.00°, β = 90.00°, γ = 90.00°
Atoms (fractional coordinates):
La: 0.000 0.500 0.000
La: 0.500 0.000 0.000
Ag: 0.000 0.000 0.500
Au: 0.500 0.500 0.500

SG   P4/mmm (123)
Distance to the lowest polymorph of the same formula   35 meV per atom

Entry 10:
Compound: LaAgAu2
Source: Alexandria via LeMat-Bulk
Functional: meta-GGA SCAN
Structure: single point on PBEsol structure

a = 3.617 Å, b = 3.617 Å, c = 6.491 Å
α = 90.00°, β = 90.00°, γ = 90.00°
Atoms (fractional coordinates):
La: 0.000 0.000 0.000
Ag: 0.500 0.500 0.309
Au: 0.000 0.000 0.505
Au: 0.500 0.500 0.733

SG   P4mm (99)
Distance to the lowest polymorph of the same formula   196 meV per atom

Entry 11:
Compound: LaAgAu2
Source: Alexandria via LeMat-Bulk
Functional: meta-GGA SCAN
Structure: single point on PBEsol structure

a = 4.964 Å, b = 4.964 Å, c = 6.978 Å
α = 90.00°, β = 90.00°, γ = 90.00°
Atoms (fractional coordinates):
La: 0.000 0.000 0.000
La: 0.500 0.500 0.500
Ag: 0.000 0.000 0.500
Ag: 0.500 0.500 0.000
Au: 0.000 0.500 0.250
Au: 0.000 0.500 0.750
Au: 0.500 0.000 0.250
Au: 0.500 0.000 0.750

SG   I4/mmm (139)
Distance to the lowest polymorph of the same formula   0 meV per atom

Entry 12:
Compound: LaAgAu4
Source: Alexandria via LeMat-Bulk
Functional: meta-GGA SCAN
Structure: single point on PBEsol structure

a = 5.506 Å, b = 5.506 Å, c = 5.506 Å
α = 60.00°, β = 60.00°, γ = 60.00°
Atoms (fractional coordinates):
La: 0.000 0.000 0.000
Ag: 0.250 0.250 0.250
Au: 0.127 0.624 0.624
Au: 0.624 0.127 0.624
Au: 0.624 0.624 0.127
Au: 0.624 0.624 0.624

SG   F-43m (216)

Values for calculated formation energy, eV/f.u., ordered as above
-0.465 -0.406 -0.451 -0.237 -0.485 -0.538 -0.693 -0.686 -2.657 -2.033 -2.817 -3.431